Entry 1:
Entry from the Alexandria database: U2Sn3Ru4 after structural relaxation (PBE).

```
U2Sn3Ru4
1.0
-2.5105 -3.1177 -2.0602
3.2761 -1.5593 3.2864
-6.2881 0.9298 6.2555
Sn Ru U
3 4 2
direct
0.6424 0.2847 0.4129
0.0000 0.0000 0.0000
0.3576 0.7153 0.5871
0.6837 0.3674 0.0969
0.9433 0.8866 0.3308
0.3163 0.6326 0.9031
0.0567 0.1134 0.6692
0.3247 0.6494 0.2168
0.6753 0.3506 0.7832
```

## Properties
The calculation puts the energy of formation from the pure elements at -0.12 eV per atom. The calculated volume comes out at 174 Å³/f.u.


Entry 2:
Entry from the Alexandria database: RbHf3Sc after structural relaxation (PBE).

```
RbHf3Sc
1.0
5.0417 0.0000 0.0000
0.0000 5.0417 0.0000
0.0000 0.0000 5.0417
Hf Sc Rb
3 1 1
direct
0.0000 0.5000 0.0000
0.0000 0.0000 0.5000
0.5000 0.0000 0.0000
0.5000 0.5000 0.5000
0.0000 0.0000 0.0000
```

## Properties
The calculation puts the energy of formation from the pure elements at 2.04 eV per atom. The calculated volume comes out at 128 Å³/f.u. Its energy relative to the lowest polymorph listed for this composition is 585 meV per atom.


Entry 3:
Entry from the Alexandria database: BaTi4Cu3O12 after structural relaxation (PBE).

```
BaTi4Cu3O12
1.0
6.5471 0.0000 0.0000
-2.1824 6.1726 0.0000
-2.1824 -3.0863 5.3457
O Cu Ti Ba
12 3 4 1
direct
0.8170 0.5084 0.6914
0.1256 0.3086 0.8170
0.1830 0.8744 0.6914
0.4916 0.3086 0.1830
0.5084 0.6914 0.8170
0.3086 0.8170 0.1256
0.8170 0.1256 0.3086
0.8744 0.6914 0.1830
0.1830 0.4916 0.3086
0.6914 0.8170 0.5084
0.6914 0.1830 0.8744
0.3086 0.1830 0.4916
0.5000 0.5000 0.0000
0.5000 0.0000 0.5000
0.0000 0.5000 0.5000
0.0000 0.0000 0.5000
0.5000 0.0000 0.0000
0.0000 0.5000 0.0000
0.5000 0.5000 0.5000
0.0000 0.0000 0.0000
```

## Properties
The calculated volume comes out at 216 Å³/f.u. The value obtained for the formation energy from raw total energies is -2.203 eV per atom.


no.,magnetic moment (μB/f.u.),E (eV/cell)
1,2.77,-72.725
2,0.00,-26.958
3,3.01,-149.340